Entry 1:
# Na17Cd11Sn (PBE, optimized geometry)
# crystal system: monoclinic
# magnetization: 0.000 μB/atom
# energy of formation: -91 meV per atom
data_Na17Cd11Sn
_chemical_formula_sum 'Na34 Cd22 Sn2'
_cell_length_a 11.7026
_cell_length_b 16.4258
_cell_length_c 10.1824
_cell_angle_alpha 90.00
_cell_angle_beta 124.96
_cell_angle_gamma 90.00
_space_group_name_H-M_alt 'C 1 m 1'
_space_group_IT_number 8
loop_
_space_group_symop_operation_xyz
'x,y,z'
'x,-y,z'
'x+1/2,y+1/2,z'
'x+1/2,-y+1/2,z'
loop_
_atom_site_label
_atom_site_fract_x
_atom_site_fract_y
_atom_site_fract_z
Na1 0.0000 0.0000 0.0000
Na2 0.0063 0.0000 0.6546
Na3 0.0640 0.3454 0.0560
Na4 0.1554 0.5000 0.3053
Na5 0.1612 0.1580 0.2417
Na6 0.1790 0.1739 0.6551
Na7 0.1875 0.5000 0.9307
Na8 0.2988 0.2953 0.9674
Na9 0.4097 0.0000 0.3717
Na10 0.4558 0.1388 0.6532
Na11 0.4886 0.2044 0.3405
Cd1 0.0027 0.1806 0.8341
Cd2 0.1826 0.0000 0.4717
Cd3 0.2270 0.4102 0.6519
Cd4 0.2740 0.0924 0.0182
Cd5 0.3243 0.3201 0.4700
Cd6 0.4089 0.4075 0.2862
Sn1 0.3664 0.0000 0.8286

=====

Entry 2:
# Na5Cd2Sn12 (PBE, optimized geometry)
# crystal system: monoclinic
# magnetization: 0.000 μB/atom
# energy of formation: -65 meV per atom
data_Na5Cd2Sn12
_chemical_formula_sum 'Na10 Cd4 Sn24'
_cell_length_a 20.6241
_cell_length_b 6.8983
_cell_length_c 7.9522
_cell_angle_alpha 90.00
_cell_angle_beta 102.92
_cell_angle_gamma 90.00
_space_group_name_H-M_alt 'C 1 2/m 1'
_space_group_IT_number 12
loop_
_space_group_symop_operation_xyz
'x,y,z'
'-x,-y,-z'
'-x,y,-z'
'x,-y,z'
'x+1/2,y+1/2,z'
'-x+1/2,-y+1/2,-z'
'-x+1/2,y+1/2,-z'
'x+1/2,-y+1/2,z'
loop_
_atom_site_label
_atom_site_fract_x
_atom_site_fract_y
_atom_site_fract_z
Na1 0.0000 0.0000 0.0000
Na2 0.2034 0.5000 0.5531
Na3 0.2447 0.0000 0.9362
Cd1 0.0000 0.2381 0.5000
Sn1 0.0327 0.5000 0.2024
Sn2 0.1114 0.2866 0.8256
Sn3 0.1314 0.0000 0.5505
Sn4 0.1508 0.2145 0.2053